Computed, not measured: a relaxed structure of BaBi3Pt at the PBE level of DFT.

Structure (extended XYZ):
```
5
Lattice="3.528 -4.491 0.000 3.528 4.491 0.000 0.000 0.000 5.492" Properties=species:S:1:pos:R:3 pbc="T T T"
Ba 0.000 0.000 0.000
Bi 1.764 2.245 2.746
Bi 1.764 -2.245 2.746
Bi 3.528 0.000 0.000
Pt 3.528 0.000 2.746
```

Computed properties:
size of the total moment	0.00	μB/cell
offset from the most stable computed form	224	meV/atom
formation enthalpy at 0 K	-1.3	eV/f.u.
calculated total energy	-0.15376	Ha/atom